1.
This record from the Alexandria database describes crystalline AlV2Co at its relaxed geometry. The functional is PBE.

```
AlV2Co
1.0
3.921 0.013 -1.089
-0.314 3.909 -1.089
-0.224 -0.243 6.796
Al V Co
2 4 2
direct
0.360 0.360 0.219
0.640 0.640 0.781
0.874 0.874 0.248
0.126 0.126 0.752
0.500 0.000 0.500
0.000 0.500 0.500
0.250 0.750 0.000
0.750 0.250 0.000
```

Density of states at the Fermi level ... 7.14 states/eV per cell
DFT formation energy ... -0.30 eV per atom
VASP energy ... -0.2782 Ha/atom
Symmetry ... I4/mmm, No. 139

2.
This record from the Alexandria database describes crystalline ZrSc2In at its relaxed geometry. The functional is PBE.

```
ZrSc2In
1.0
3.301 0.000 0.000
1.650 2.858 0.000
1.650 0.953 10.104
Zr Sc In
1 2 1
direct
0.500 0.500 0.500
0.083 0.083 0.750
0.250 0.250 0.249
0.667 0.667 0.000
```

Density of states at the Fermi level ... 4.50 states/eV per cell
DFT formation energy ... -0.16 eV per atom
VASP energy ... -0.2260 Ha/atom
Symmetry ... R3m, No. 160

3.
This record from the Alexandria database describes crystalline BaLiCuO3 at its relaxed geometry. The functional is PBE.

```
BaLiCuO3
1.0
-1.326 3.475 -1.081
-3.625 -4.918 -4.425
-2.571 0.897 6.039
Ba Li Cu O
2 2 2 6
direct
0.323 0.646 0.823
0.677 0.354 0.177
0.600 0.200 0.599
0.400 0.800 0.401
0.000 0.000 0.271
0.000 0.000 0.729
0.858 0.716 0.137
0.859 0.717 0.577
0.500 0.999 0.270
0.141 0.283 0.423
0.500 0.001 0.730
0.142 0.284 0.863
```

Raw formation energy ... -1.503 eV/atom
Density of states at the Fermi level ... 5.74 states/eV per cell
VASP energy ... -0.1949 Ha/atom
Symmetry ... C2/m, No. 12

4.
This record from the Alexandria database describes crystalline NaHg2AsI at its relaxed geometry. The functional is PBE.

```
NaHg2AsI
1.0
-1.197 0.586 5.114
-1.079 -5.163 0.339
5.609 -1.078 1.437
I Na As Hg
1 1 1 2
direct
0.500 0.500 0.500
0.000 0.000 0.500
0.000 0.000 0.000
0.000 0.500 0.000
0.500 0.000 0.000
```

Raw formation energy ... -0.270 eV/atom
Density of states at the Fermi level ... 1.77 states/eV per cell
VASP energy ... -0.0696 Ha/atom
Symmetry ... P4/mmm, No. 123

5.
This record from the Alexandria database describes crystalline Ac3Al at its relaxed geometry. The functional is PBE.

```
Ac3Al
1.0
5.948 0.000 0.000
2.974 5.151 0.000
2.974 1.717 4.856
Ac Al
3 1
direct
0.000 0.000 0.000
0.750 0.750 0.750
0.250 0.250 0.250
0.500 0.500 0.500
```

Density of states at the Fermi level ... 7.14 states/eV per cell
DFT formation energy ... 0.11 eV per atom
Excess energy over the best structure of this formula in the dataset ... 0.1818 eV/atom
VASP energy ... -0.1436 Ha/atom
Symmetry ... Fm-3m, No. 225

6.
This record from the Alexandria database describes crystalline BaMnFe2P at its relaxed geometry. The functional is PBE.

```
BaMnFe2P
1.0
-2.113 1.374 -3.676
-4.898 1.021 3.197
1.372 4.170 0.771
P Mn Ba Fe
1 1 1 2
direct
0.000 0.000 0.000
0.500 0.500 0.500
0.000 0.500 0.000
0.000 0.000 0.500
0.500 0.000 0.000
```

Density of states at the Fermi level ... 4.49 states/eV per cell
DFT formation energy ... 0.66 eV per atom
VASP energy ... -0.2214 Ha/atom
Symmetry ... P4/mmm, No. 123

7.
This record from the Alexandria database describes crystalline PrNdNiIr at its relaxed geometry. The functional is PBE.

```
PrNdNiIr
1.0
-2.460 1.534 -2.805
-3.221 -2.079 1.688
0.180 3.503 4.658
Pr Nd Ni Ir
1 1 1 1
direct
0.142 0.000 0.284
0.860 0.500 0.720
0.573 0.500 0.145
0.426 0.000 0.852
```

Density of states at the Fermi level ... 2.75 states/eV per cell
DFT formation energy ... -0.49 eV per atom
Excess energy over the best structure of this formula in the dataset ... 0.0000 eV/atom
VASP energy ... -0.2403 Ha/atom
Symmetry ... Amm2, No. 38

8.
This record from the Alexandria database describes crystalline SmNi4Sn12 at its relaxed geometry. The functional is PBE.

```
SmNi4Sn12
1.0
7.548 0.000 -2.668
-3.774 6.536 -2.668
0.000 0.000 8.005
Sm Ni Sn
1 4 12
direct
0.000 0.000 0.000
0.000 0.500 0.000
0.500 0.000 0.000
0.500 0.500 0.500
0.000 0.000 0.500
0.833 0.336 0.169
0.336 0.502 0.167
0.831 0.167 0.664
0.336 0.169 0.833
0.169 0.833 0.336
0.664 0.498 0.833
0.502 0.167 0.336
0.498 0.833 0.664
0.664 0.831 0.167
0.833 0.664 0.498
0.167 0.336 0.502
0.167 0.664 0.831
```

Density of states at the Fermi level ... 6.73 states/eV per cell
DFT formation energy ... -0.21 eV per atom
VASP energy ... -0.1718 Ha/atom
Symmetry ... Im-3, No. 204

9.
This record from the Alexandria database describes crystalline Li5AlAg2 at its relaxed geometry. The functional is PBE.

```
Li5AlAg2
1.0
4.182 0.000 0.000
0.000 5.561 0.000
0.000 0.000 11.151
Li Al Ag
10 2 4
direct
0.000 0.000 0.000
0.000 0.500 0.500
0.000 0.483 0.748
0.000 0.517 0.252
0.000 0.017 0.248
0.000 0.983 0.752
0.500 0.242 0.869
0.500 0.758 0.131
0.500 0.258 0.369
0.500 0.742 0.631
0.000 0.000 0.500
0.000 0.500 0.000
0.500 0.233 0.616
0.500 0.767 0.384
0.500 0.267 0.116
0.500 0.733 0.884
```

Density of states at the Fermi level ... 3.96 states/eV per cell
DFT formation energy ... -0.18 eV per atom
Excess energy over the best structure of this formula in the dataset ... 0.0000 eV/atom
VASP energy ... -0.0938 Ha/atom
Symmetry ... Pbam, No. 55

10.
This record from the Alexandria database describes crystalline Nb3SbS at its relaxed geometry. The functional is PBE.

```
Nb3SbS
1.0
-2.480 2.713 2.784
0.300 -3.159 3.345
3.875 1.980 1.522
Sb Nb S
1 3 1
direct
0.500 0.500 0.500
0.000 0.500 0.000
0.000 0.000 0.500
0.500 0.000 0.000
0.000 0.000 0.000
```

Raw formation energy ... 0.001 eV/atom
Density of states at the Fermi level ... 2.66 states/eV per cell
Excess energy over the best structure of this formula in the dataset ... 0.2348 eV/atom
VASP energy ... -0.2826 Ha/atom
Symmetry ... Pm-3m, No. 221

11.
This record from the Alexandria database describes crystalline NaLaPr2 at its relaxed geometry. The functional is PBE.

```
NaLaPr2
1.0
-2.569 -1.770 1.913
2.552 -1.164 2.351
-1.577 8.897 6.117
Pr Na La
2 1 1
direct
0.000 0.000 0.765
0.000 0.000 0.235
0.500 0.500 0.500
0.500 0.500 0.000
```

Density of states at the Fermi level ... 4.53 states/eV per cell
DFT formation energy ... 0.09 eV per atom
Excess energy over the best structure of this formula in the dataset ... 0.0000 eV/atom
VASP energy ... -0.1417 Ha/atom
Symmetry ... P4/mmm, No. 123

12.
This record from the Alexandria database describes crystalline ZrCl at its relaxed geometry. The functional is PBE.

```
ZrCl
1.0
5.040 0.000 0.000
0.000 3.235 0.010
0.000 0.939 4.853
Cl Zr
2 2
direct
0.000 0.051 0.996
0.500 0.699 0.754
0.000 0.663 0.536
0.500 0.087 0.214
```

Raw formation energy ... -0.693 eV/atom
Density of states at the Fermi level ... 2.74 states/eV per cell
VASP energy ... -0.2165 Ha/atom
Symmetry ... P2_1/m, No. 11

13.
This record from the Alexandria database describes crystalline LiY2TcHg at its relaxed geometry. The functional is PBE.

```
LiY2TcHg
1.0
5.177 0.000 0.000
0.000 4.173 0.000
0.000 0.000 5.177
Y Li Hg Tc
2 1 1 1
direct
0.000 0.000 0.500
0.500 0.000 0.000
0.000 0.000 0.000
0.500 0.500 0.500
0.000 0.500 0.000
```

Density of states at the Fermi level ... 4.32 states/eV per cell
DFT formation energy ... 0.51 eV per atom
VASP energy ... -0.1688 Ha/atom
Symmetry ... P4/mmm, No. 123

14.
This record from the Alexandria database describes crystalline CsCo3Te at its relaxed geometry. The functional is PBE.

```
CsCo3Te
1.0
4.863 0.000 0.000
0.000 4.863 0.000
0.000 0.000 4.863
Cs Te Co
1 1 3
direct
0.000 0.000 0.000
0.500 0.500 0.500
0.000 0.500 0.000
0.000 0.000 0.500
0.500 0.000 0.000
```

Raw formation energy ... 2.185 eV/atom
Density of states at the Fermi level ... 5.58 states/eV per cell
VASP energy ... -0.1058 Ha/atom
Symmetry ... Pm-3m, No. 221

15.
This record from the Alexandria database describes crystalline CsTa3Mo at its relaxed geometry. The functional is PBE.

```
CsTa3Mo
1.0
-4.320 -2.589 -0.332
2.413 -4.206 1.403
-0.996 1.042 4.838
Cs Mo Ta
1 1 3
direct
0.500 0.500 0.500
0.000 0.000 0.000
0.000 0.500 0.000
0.000 0.000 0.500
0.500 0.000 0.000
```

Density of states at the Fermi level ... 5.25 states/eV per cell
DFT formation energy ... 1.73 eV per atom
Excess energy over the best structure of this formula in the dataset ... 0.0000 eV/atom
VASP energy ... -0.2838 Ha/atom
Symmetry ... Pm-3m, No. 221

16.
This record from the Alexandria database describes crystalline Tb3Pr2Nd6Sm at its relaxed geometry. The functional is PBE.

```
Tb3Pr2Nd6Sm
1.0
-1.184 -3.150 -5.369
4.971 -1.606 3.586
-8.080 -6.091 6.604
Tb Pr Nd Sm
3 2 6 1
direct
0.167 0.833 0.500
0.833 0.167 0.500
0.500 0.500 0.500
0.333 0.667 0.000
0.667 0.333 0.000
0.916 0.583 0.746
0.752 0.752 0.254
0.084 0.417 0.254
0.583 0.916 0.746
0.248 0.248 0.746
0.417 0.084 0.254
0.000 0.000 0.000
```

Density of states at the Fermi level ... 17.14 states/eV per cell
DFT formation energy ... 0.01 eV per atom
VASP energy ... -0.1734 Ha/atom
Symmetry ... C2/m, No. 12

17.
This record from the Alexandria database describes crystalline MgFe2BiC at its relaxed geometry. The functional is PBE.

```
MgFe2BiC
1.0
3.931 0.000 0.000
0.000 5.239 0.000
0.000 0.000 3.931
C Mg Bi Fe
1 1 1 2
direct
0.000 0.000 0.000
0.500 0.500 0.500
0.000 0.500 0.000
0.000 0.000 0.500
0.500 0.000 0.000
```

Density of states at the Fermi level ... 2.93 states/eV per cell
DFT formation energy ... 0.58 eV per atom
VASP energy ... -0.2111 Ha/atom
Symmetry ... P4/mmm, No. 123

18.
This record from the Alexandria database describes crystalline EuMo6Se8 at its relaxed geometry. The functional is PBE.

```
EuMo6Se8
1.0
4.896 -4.798 0.000
4.896 4.798 0.000
0.193 0.000 6.852
Eu Mo Se
1 6 8
direct
0.000 0.000 0.000
0.577 0.762 0.440
0.762 0.440 0.577
0.440 0.577 0.762
0.423 0.238 0.560
0.238 0.560 0.423
0.560 0.423 0.238
0.758 0.758 0.758
0.242 0.242 0.242
0.621 0.250 0.878
0.250 0.878 0.621
0.878 0.621 0.250
0.379 0.750 0.122
0.750 0.122 0.379
0.122 0.379 0.750
```

Raw formation energy ... -0.723 eV/atom
Density of states at the Fermi level ... 16.19 states/eV per cell
VASP energy ... -0.2793 Ha/atom
Symmetry ... R-3, No. 148

19.
This record from the Alexandria database describes crystalline TbPuRh at its relaxed geometry. The functional is PBE.

```
TbPuRh
1.0
-0.118 3.502 -0.951
-2.890 2.020 0.866
4.152 4.806 10.255
Rh Pu Tb
2 2 2
direct
0.597 0.597 0.210
0.403 0.403 0.790
0.316 0.316 0.052
0.684 0.684 0.948
0.880 0.880 0.360
0.120 0.120 0.640
```

Density of states at the Fermi level ... 10.39 states/eV per cell
DFT formation energy ... -0.21 eV per atom
Excess energy over the best structure of this formula in the dataset ... 0.2376 eV/atom
VASP energy ... -0.3302 Ha/atom
Symmetry ... R-3m, No. 166

20.
This record from the Alexandria database describes crystalline Pa2Tc3Sb2 at its relaxed geometry. The functional is PBE.

```
Pa2Tc3Sb2
1.0
-4.083 1.660 1.558
0.107 -3.309 3.805
5.198 3.907 2.446
Pa Tc Sb
2 3 2
direct
0.850 0.623 0.699
0.150 0.377 0.301
0.000 0.000 0.000
0.787 0.167 0.574
0.213 0.833 0.426
0.600 0.844 0.199
0.400 0.156 0.801
```

Raw formation energy ... -0.311 eV/atom
Density of states at the Fermi level ... 2.64 states/eV per cell
Excess energy over the best structure of this formula in the dataset ... 0.0000 eV/atom
VASP energy ... -0.3177 Ha/atom
Symmetry ... C2/m, No. 12

21.
This record from the Alexandria database describes crystalline YHo2S4 at its relaxed geometry. The functional is PBE.

```
YHo2S4
1.0
-7.648 1.215 -1.274
-5.265 -2.305 5.235
-3.870 5.325 4.136
Y Ho S
2 4 8
direct
0.500 0.500 0.000
0.000 0.500 0.000
0.000 0.000 0.000
0.000 0.000 0.500
0.000 0.500 0.500
0.500 0.000 0.500
0.252 0.247 0.250
0.748 0.250 0.253
0.252 0.750 0.747
0.748 0.753 0.750
0.758 0.751 0.251
0.760 0.249 0.749
0.240 0.751 0.251
0.242 0.249 0.749
```

Raw formation energy ... -2.075 eV/atom
Density of states at the Fermi level ... 3.56 states/eV per cell
Excess energy over the best structure of this formula in the dataset ... 0.0000 eV/atom
VASP energy ... -0.2449 Ha/atom
Symmetry ... Imma, No. 74

22.
This record from the Alexandria database describes crystalline Ac12Zn5In at its relaxed geometry. The functional is PBE.

```
Ac12Zn5In
1.0
8.769 -0.117 -3.607
-4.519 7.934 -2.559
-0.250 0.117 9.478
Ac Zn In
12 5 1
direct
0.544 0.821 0.723
0.456 0.179 0.277
0.903 0.179 0.723
0.097 0.821 0.277
0.698 0.673 0.371
0.302 0.327 0.629
0.302 0.673 0.975
0.698 0.327 0.025
0.812 0.577 0.766
0.188 0.423 0.234
0.188 0.954 0.766
0.812 0.046 0.234
0.653 0.653 0.000
0.347 0.347 0.000
0.500 0.115 0.615
0.500 0.885 0.385
0.000 0.000 0.000
0.000 0.500 0.500
```

Density of states at the Fermi level ... 20.95 states/eV per cell
DFT formation energy ... -0.16 eV per atom
VASP energy ... -0.1250 Ha/atom
Symmetry ... Immm, No. 71